[1]
## NdCu2Hg (PBE)

Data for a relaxed NdCu2Hg crystal.

Properties
- VASP energy: -3.554 eV/atom
- V: 82 Å³/f.u.
- E_form: -92 kJ/mol of formula units
- Space-group type: P4/nmm, No. 129

Cell lengths 4.060, 4.057, 9.914 Å; angles 90.04, 90.00, 90.00 degrees
Fractional positions:
Nd1 0.750 0.750 0.260
Nd2 0.250 0.250 0.740
Cu1 0.750 0.249 0.500
Cu2 0.250 0.751 0.500
Cu3 0.750 0.750 0.645
Cu4 0.250 0.250 0.355
Hg1 0.750 0.750 0.922
Hg2 0.250 0.250 0.078

=====

[2]
## Nd4CuHg (PBE)

Data for a relaxed Nd4CuHg crystal.

Properties
- VASP energy: -3.941 eV/atom
- V: 192 Å³/f.u.
- E_form: -17 kJ/mol of formula units
- Space-group type: P2_1/c, No. 14

Cell lengths 6.780, 7.938, 7.200 Å; angles 90.00, 97.42, 90.00 degrees
Fractional positions:
Nd1 0.918 0.650 0.159
Nd2 0.582 0.150 0.841
Nd3 0.330 0.333 0.352
Nd4 0.170 0.833 0.648
Nd5 0.082 0.350 0.841
Nd6 0.418 0.850 0.159
Nd7 0.670 0.667 0.648
Nd8 0.830 0.167 0.352
Cu1 0.500 0.000 0.500
Cu2 0.000 0.500 0.500
Hg1 0.000 0.000 0.000
Hg2 0.500 0.500 0.000

=====

[3]
## Nd12Cu6Hg (PBE)

Data for a relaxed Nd12Cu6Hg crystal.

Properties
- VASP energy: -4.435 eV/atom
- V: 528 Å³/f.u.
- E_form: -210 kJ/mol of formula units
- Space-group type: Im-3, No. 204

Cell lengths 8.820, 8.820, 8.820 Å; angles 109.47, 109.47, 109.47 degrees
Fractional positions:
Nd1 0.298 0.109 0.811
Nd2 0.298 0.486 0.189
Nd3 0.702 0.514 0.811
Nd4 0.702 0.891 0.189
Nd5 0.109 0.811 0.298
Nd6 0.486 0.189 0.298
Nd7 0.514 0.811 0.702
Nd8 0.891 0.189 0.702
Nd9 0.811 0.298 0.109
Nd10 0.189 0.298 0.486
Nd11 0.811 0.702 0.514
Nd12 0.189 0.702 0.891
Cu1 0.379 0.500 0.879
Cu2 0.621 0.500 0.121
Cu3 0.500 0.879 0.379
Cu4 0.500 0.121 0.621
Cu5 0.879 0.379 0.500
Cu6 0.121 0.621 0.500
Hg1 0.000 0.000 0.000